VASP calculation (PBE) on Ca2ZnBSe after structural relaxation.

Energy relative to the elements, uncorrected   -0.550 eV per atom
Fermi-level density of states   1.87 states/eV/f.u.

```
data_Ca2ZnBSe
_chemical_formula_sum 'Ca2 Zn1 B1 Se1'
_space_group_name_H-M_alt 'P 4/m m m'
_space_group_IT_number 123
_space_group_name_Hall '-P 4 2'
_cell_length_a 5.251
_cell_length_b 5.251
_cell_length_c 3.968
_cell_angle_alpha 90.00
_cell_angle_beta 90.00
_cell_angle_gamma 90.00
loop_
_atom_site_label
_atom_site_fract_x
_atom_site_fract_y
_atom_site_fract_z
_atom_site_occupancy
Ca1 0.000 0.500 0.000 1
Zn1 0.000 0.000 0.500 1
B1 0.000 0.000 0.000 1
Se1 0.500 0.500 0.500 1
```

VASP calculation (PBE) on CaSi3B after structural relaxation.

Excess energy over the best structure of this formula in the dataset   911 kJ/mol of formula units
Energy relative to the elements, uncorrected   2.336 eV per atom
Fermi-level density of states   4.57 states/eV/f.u.

```
data_CaSi3B
_chemical_formula_sum 'Ca1 Si3 B1'
_space_group_name_H-M_alt 'P m -3 m'
_space_group_IT_number 221
_space_group_name_Hall '-P 4 2 3'
_cell_length_a 5.291
_cell_length_b 5.291
_cell_length_c 5.291
_cell_angle_alpha 90.00
_cell_angle_beta 90.00
_cell_angle_gamma 90.00
loop_
_atom_site_label
_atom_site_fract_x
_atom_site_fract_y
_atom_site_fract_z
_atom_site_occupancy
Ca1 0.000 0.000 0.000 1
Si1 0.000 0.000 0.500 1
B1 0.500 0.500 0.500 1
```

VASP calculation (PBE) on CaSiB after structural relaxation.

Excess energy over the best structure of this formula in the dataset   48 kJ/mol of formula units
Energy relative to the elements, uncorrected   -0.202 eV per atom
Fermi-level density of states   0.71 states/eV/f.u.

```
data_CaSiB
_chemical_formula_sum 'Ca8 Si8 B8'
_space_group_name_H-M_alt 'C m c e'
_space_group_IT_number 64
_space_group_name_Hall '-C 2ac 2'
_cell_length_a 8.788
_cell_length_b 6.819
_cell_length_c 6.793
_cell_angle_alpha 90.00
_cell_angle_beta 90.00
_cell_angle_gamma 90.00
loop_
_atom_site_label
_atom_site_fract_x
_atom_site_fract_y
_atom_site_fract_z
_atom_site_occupancy
Ca1 0.193 0.000 0.000 1
Si1 0.000 0.140 0.359 1
B1 0.000 0.155 0.655 1
```

VASP calculation (PBE) on CaSi3B after structural relaxation.

Excess energy over the best structure of this formula in the dataset   0 kJ/mol of formula units
Energy relative to the elements, uncorrected   0.448 eV per atom
Fermi-level density of states   1.48 states/eV/f.u.

```
data_CaSi3B
_chemical_formula_sum 'Ca1 Si3 B1'
_space_group_name_H-M_alt 'P m -3 m'
_space_group_IT_number 221
_space_group_name_Hall '-P 4 2 3'
_cell_length_a 4.377
_cell_length_b 4.377
_cell_length_c 4.377
_cell_angle_alpha 90.00
_cell_angle_beta 90.00
_cell_angle_gamma 90.00
loop_
_atom_site_label
_atom_site_fract_x
_atom_site_fract_y
_atom_site_fract_z
_atom_site_occupancy
Ca1 0.000 0.000 0.000 1
Si1 0.000 0.500 0.500 1
B1 0.500 0.500 0.500 1
```

VASP calculation (PBE) on CaSiB after structural relaxation.

Excess energy over the best structure of this formula in the dataset   0 kJ/mol of formula units
Energy relative to the elements, uncorrected   -0.369 eV per atom
Fermi-level density of states   1.01 states/eV/f.u.

```
data_CaSiB
_chemical_formula_sum 'Ca1 Si1 B1'
_space_group_name_H-M_alt 'P -6 m 2'
_space_group_IT_number 187
_space_group_name_Hall 'P -6 2'
_cell_length_a 3.5535
_cell_length_b 3.5535
_cell_length_c 4.3768
_cell_angle_alpha 90.00
_cell_angle_beta 90.00
_cell_angle_gamma 120.00
loop_
_atom_site_label
_atom_site_fract_x
_atom_site_fract_y
_atom_site_fract_z
_atom_site_occupancy
Ca1 0.0000 0.0000 0.0000 1
Si1 0.6667 0.3333 0.5000 1
B1 0.3333 0.6667 0.5000 1
```

VASP calculation (PBE) on CaSiB3 after structural relaxation.

Excess energy over the best structure of this formula in the dataset   0 kJ/mol of formula units
Energy relative to the elements, uncorrected   0.937 eV per atom
Fermi-level density of states   1.91 states/eV/f.u.

```
data_CaSiB3
_chemical_formula_sum 'Ca1 Si1 B3'
_space_group_name_H-M_alt 'P m -3 m'
_space_group_IT_number 221
_space_group_name_Hall '-P 4 2 3'
_cell_length_a 4.057
_cell_length_b 4.057
_cell_length_c 4.057
_cell_angle_alpha 90.00
_cell_angle_beta 90.00
_cell_angle_gamma 90.00
loop_
_atom_site_label
_atom_site_fract_x
_atom_site_fract_y
_atom_site_fract_z
_atom_site_occupancy
Ca1 0.000 0.000 0.000 1
Si1 0.500 0.500 0.500 1
B1 0.000 0.500 0.500 1
```

VASP calculation (PBE) on Ca2SiB after structural relaxation.

Excess energy over the best structure of this formula in the dataset   126 kJ/mol of formula units
Energy relative to the elements, uncorrected   0.626 eV per atom
Fermi-level density of states   3.15 states/eV/f.u.

```
data_Ca2SiB
_chemical_formula_sum 'Ca8 Si4 B4'
_space_group_name_H-M_alt 'I -4 2 d'
_space_group_IT_number 122
_space_group_name_Hall 'I -4 2bw'
_cell_length_a 7.593
_cell_length_b 7.593
_cell_length_c 6.333
_cell_angle_alpha 90.00
_cell_angle_beta 90.00
_cell_angle_gamma 90.00
loop_
_atom_site_label
_atom_site_fract_x
_atom_site_fract_y
_atom_site_fract_z
_atom_site_occupancy
Ca1 0.214 0.750 0.125 1
Si1 0.000 0.000 0.500 1
B1 0.000 0.000 0.000 1
```

VASP calculation (PBE) on CaSiB2 after structural relaxation.

Energy relative to the elements, uncorrected   0.180 eV per atom
Fermi-level density of states   1.32 states/eV/f.u.

```
data_CaSiB2
_chemical_formula_sum 'Ca4 Si4 B8'
_space_group_name_H-M_alt 'I 41/a m d'
_space_group_IT_number 141
_cell_length_a 4.251
_cell_length_b 4.251
_cell_length_c 13.185
_cell_angle_alpha 90.00
_cell_angle_beta 90.00
_cell_angle_gamma 90.00
loop_
_space_group_symop_operation_xyz
'x,y,z'
'-x,-y,-z'
'-y+1/4,x+3/4,z+1/4'
'y+1/4,-x+3/4,-z+1/4'
'-x+1/2,-y,z+1/2'
'x+1/2,y,-z+1/2'
'y+1/4,-x+1/4,z+3/4'
'-y+1/4,x+1/4,-z+3/4'
'x,-y,-z'
'-x,y,z'
'-y+1/4,-x+1/4,-z+3/4'
'y+1/4,x+1/4,z+3/4'
'-x+1/2,y,-z+1/2'
'x+1/2,-y,z+1/2'
'y+1/4,x+3/4,-z+1/4'
'-y+1/4,-x+3/4,z+1/4'
'x+1/2,y+1/2,z+1/2'
'-x+1/2,-y+1/2,-z+1/2'
'-y+3/4,x+1/4,z+3/4'
'y+3/4,-x+1/4,-z+3/4'
'-x,-y+1/2,z'
'x,y+1/2,-z'
'y+3/4,-x+3/4,z+1/4'
'-y+3/4,x+3/4,-z+1/4'
'x+1/2,-y+1/2,-z+1/2'
'-x+1/2,y+1/2,z+1/2'
'-y+3/4,-x+3/4,-z+1/4'
'y+3/4,x+3/4,z+1/4'
'-x,y+1/2,-z'
'x,-y+1/2,z'
'y+3/4,x+1/4,-z+3/4'
'-y+3/4,-x+1/4,z+3/4'
loop_
_atom_site_label
_atom_site_fract_x
_atom_site_fract_y
_atom_site_fract_z
_atom_site_occupancy
Ca1 0.000 0.250 0.375 1
Si1 0.000 0.250 0.875 1
B1 0.000 0.000 0.000 1
```